[1]
A plane-wave DFT calculation with PBE was carried out for crystalline NaCe2S4 at its relaxed geometry.

Output
symmetry: No. 141
Fermi-level density of states: 15.94 states/eV/cell
offset from the most stable computed form: 0.0000 eV per atom

```
NaCe2S4
1.0
-7.9566 -0.6484 -2.3477
2.7068 -4.1604 6.6787
-0.7350 8.2835 0.2895
Na Ce S
2 4 8
Direct
0.0000 0.0000 0.0000 Na
0.7500 0.5000 0.2500 Na
0.3750 0.7505 0.6255 Ce
0.8750 0.2495 0.6245 Ce
0.3745 0.7495 0.1250 Ce
0.3755 0.2505 0.6250 Ce
0.1378 0.7218 0.8604 S
0.1660 0.7782 0.3886 S
0.5840 0.7226 0.8622 S
0.1386 0.2782 0.4160 S
0.6114 0.7774 0.3896 S
0.1396 0.2774 0.8614 S
0.6122 0.2226 0.8340 S
0.6104 0.2218 0.3878 S
```



[2]
A plane-wave DFT calculation with PBE was carried out for crystalline Sm3Ag4Pb2 at its relaxed geometry.

Output
E_form: -345 meV per atom
symmetry: No. 12
Fermi-level density of states: 5.19 states/eV/cell

```
Sm3Ag4Pb2
1.0
4.8136 0.0000 0.0000
-2.4068 5.2450 -2.0288
0.0000 -0.8443 9.3098
Sm Ag Pb
3 4 2
Direct
0.0000 0.0000 0.0000 Sm
0.6577 0.3155 0.6779 Sm
0.3422 0.6845 0.3221 Sm
0.9174 0.8349 0.5753 Ag
0.0826 0.1651 0.4247 Ag
0.7107 0.4215 0.0373 Ag
0.2893 0.5785 0.9627 Ag
0.6180 0.2361 0.2792 Pb
0.3820 0.7639 0.7208 Pb
```



[3]
A plane-wave DFT calculation with PBE was carried out for crystalline CuTeIr at its relaxed geometry.

Output
symmetry: No. 216
Fermi-level density of states: 2.28 states/eV/cell
offset from the most stable computed form: 0.0000 eV per atom

```
CuTeIr
1.0
4.3304 0.0000 0.0000
2.1652 3.7502 0.0000
2.1652 1.2501 3.5357
Ir Cu Te
1 1 1
Direct
0.2500 0.2500 0.2500 Ir
0.5000 0.5000 0.5000 Cu
0.0000 0.0000 0.0000 Te
```



[4]
A plane-wave DFT calculation with PBE was carried out for crystalline LaTl2TePt at its relaxed geometry.

Output
symmetry: No. 123
Fermi-level density of states: 1.77 states/eV/cell
offset from the most stable computed form: 0.0000 eV per atom

```
LaTl2TePt
1.0
5.2757 0.0000 0.0000
0.0000 5.2757 0.0000
0.0000 0.0000 5.6802
Te Pt Tl La
1 1 2 1
Direct
0.5000 0.5000 0.5000 Te
0.0000 0.0000 0.0000 Pt
0.0000 0.5000 0.0000 Tl
0.5000 0.0000 0.0000 Tl
0.0000 0.0000 0.5000 La
```



[5]
A plane-wave DFT calculation with PBE was carried out for crystalline Ba2PuPaO6 at its relaxed geometry.

Output
symmetry: No. 123
Fermi-level density of states: 5.89 states/eV/cell
offset from the most stable computed form: 0.0033 eV per atom

```
Ba2PuPaO6
1.0
-2.8247 1.4461 -3.1477
-2.6001 -3.5688 0.6937
-4.5915 4.5528 6.2121
O Pu Pa Ba
6 1 1 2
Direct
0.5000 0.5000 0.7602 O
0.5000 0.5000 0.2398 O
0.5000 0.0000 0.5000 O
0.0000 0.5000 0.0000 O
0.0000 0.5000 0.5000 O
0.5000 0.0000 0.0000 O
0.5000 0.5000 0.5000 Pu
0.5000 0.5000 0.0000 Pa
0.0000 0.0000 0.2683 Ba
0.0000 0.0000 0.7317 Ba
```



[6]
A plane-wave DFT calculation with PBE was carried out for crystalline Cs2PbSeBr6 at its relaxed geometry.

Output
symmetry: No. 139
Fermi-level density of states: 0.00 states/eV/cell
E_tot: -2.87 eV per atom

```
Cs2PbSeBr6
1.0
7.8909 0.0000 0.0000
0.0000 7.8909 0.0000
3.9455 3.9455 6.7676
Br Pb Cs Se
6 1 2 1
Direct
0.2179 0.2179 0.5642 Br
0.7331 0.2669 0.0000 Br
0.7821 0.7821 0.4358 Br
0.7331 0.7331 0.0000 Br
0.2669 0.2669 0.0000 Br
0.2669 0.7331 0.0000 Br
0.0000 0.0000 0.0000 Pb
0.7500 0.2500 0.5000 Cs
0.2500 0.7500 0.5000 Cs
0.5000 0.5000 0.0000 Se
```



no.,magnetization (μB per cell)
1,2.1
2,0.0
3,0.0
4,0.0
5,5.0
6,0.0